(1)
Here is MgTaW2 after structural relaxation from Alexandria via LeMat-Bulk. Energies are from PBE-GGA.

Output
E_form ... 317 meV per atom
DOS at the Fermi energy ... 3.02 states/eV per cell
Calculated density ... 13.73 g cm⁻³
Magnetic moment ... 0.00 μB per cell

Geometry as extended XYZ:
```
4
Lattice="-1.6516 2.3046 4.5498 1.6516 -2.3046 4.5498 1.6516 2.3046 -4.5498" Properties=species:S:1:pos:R:3 pbc="T T T"
Mg 0.0000 0.0000 0.0000
Ta 1.6516 0.0000 2.4509
W 0.0000 0.0000 4.7111
W 0.0000 2.3046 2.1701
```



(2)
Here is Mg2Ta2W after structural relaxation from Alexandria via LeMat-Bulk. Energies are from PBE-GGA.

Output
E_form ... 1062 meV per atom
DOS at the Fermi energy ... 2.95 states/eV per cell
Calculated density ... 10.44 g cm⁻³
Magnetic moment ... 0.00 μB per cell

Geometry as extended XYZ:
```
5
Lattice="-1.9041 1.9041 6.5164 1.9041 -1.9041 6.5164 1.9041 1.9041 -6.5164" Properties=species:S:1:pos:R:3 pbc="T T T"
Mg 0.0000 0.0000 1.1908
Mg 0.0000 0.0000 11.8420
Ta 1.9041 0.0000 3.2582
Ta 0.0000 1.9041 3.2582
W 0.0000 0.0000 6.5164
```



(3)
Here is MgTaW2 after structural relaxation from Alexandria via LeMat-Bulk. Energies are from PBE-GGA.

Output
E_form ... 327 meV per atom
DOS at the Fermi energy ... 2.95 states/eV per cell
Calculated density ... 13.61 g cm⁻³
Magnetic moment ... 0.00 μB per cell

Geometry as extended XYZ:
```
4
Lattice="3.2578 0.0000 0.0000 0.0000 3.2578 0.0000 0.0000 0.0000 6.5885" Properties=species:S:1:pos:R:3 pbc="T T T"
Mg 0.0000 0.0000 0.0000
Ta 1.6289 1.6289 1.8765
W 0.0000 0.0000 3.4285
W 1.6289 1.6289 4.8691
```



(4)
Here is MgTaW2 after structural relaxation from Alexandria via LeMat-Bulk. Energies are from PBE-GGA.

Output
E_form ... 384 meV per atom
DOS at the Fermi energy ... 1.89 states/eV per cell
Calculated density ... 13.82 g cm⁻³
Magnetic moment ... 0.00 μB per cell

Geometry as extended XYZ:
```
4
Lattice="2.7944 -4.5770 0.0000 2.7944 4.5770 0.0000 0.0000 0.0000 2.6907" Properties=species:S:1:pos:R:3 pbc="T T T"
Mg 0.0000 0.0000 0.0000
Ta 2.7944 0.0000 0.0000
W 1.3972 2.2885 1.3454
W 1.3972 -2.2885 1.3454
```



(5)
Here is MgTaW2 after structural relaxation from Alexandria via LeMat-Bulk. Energies are from PBE-GGA.

Output
E_form ... 347 meV per atom
DOS at the Fermi energy ... 3.36 states/eV per cell
Calculated density ... 13.90 g cm⁻³
Magnetic moment ... 0.00 μB per cell

Geometry as extended XYZ:
```
4
Lattice="-1.6538 2.2710 4.5567 1.6538 -2.2710 4.5567 1.6538 2.2710 -4.5567" Properties=species:S:1:pos:R:3 pbc="T T T"
Mg 0.0000 0.0000 0.0000
Ta 0.0000 0.0000 4.5567
W 1.6538 0.0000 2.3657
W 0.0000 2.2710 2.1910
```



(6)
Here is MgTaW2 after structural relaxation from Alexandria via LeMat-Bulk. Energies are from PBE-GGA.

Output
E_form ... 275 meV per atom
DOS at the Fermi energy ... 2.87 states/eV per cell
Calculated density ... 14.00 g cm⁻³
Magnetic moment ... 0.00 μB per cell

Geometry as extended XYZ:
```
4
Lattice="2.8271 -4.6390 0.0000 2.8271 4.6390 0.0000 -0.8675 0.0000 2.5909" Properties=species:S:1:pos:R:3 pbc="T T T"
Mg 0.0000 0.0000 0.0000
Ta 2.8271 0.0000 0.0000
W 0.9798 2.3195 1.2955
W 0.9798 -2.3195 1.2955
```



(7)
Here is MgTaW2 after structural relaxation from Alexandria via LeMat-Bulk. Energies are from PBE-GGA.

Output
E_form ... 179 meV per atom
DOS at the Fermi energy ... 2.51 states/eV per cell
Calculated density ... 13.67 g cm⁻³
Magnetic moment ... 0.00 μB per cell

Geometry as extended XYZ:
```
4
Lattice="1.6104 -2.2800 0.0000 1.6104 2.2800 0.0000 0.0000 0.0000 9.4779" Properties=species:S:1:pos:R:3 pbc="T T T"
Mg 0.0000 0.0000 0.0000
Ta 1.6104 0.0000 2.5813
W 0.0000 0.0000 4.8755
W 1.6104 0.0000 7.0682
```



(8)
Here is MgTaW2 after structural relaxation from Alexandria via LeMat-Bulk. Energies are from PBE-GGA.

Output
E_form ... 245 meV per atom
DOS at the Fermi energy ... 2.67 states/eV per cell
Calculated density ... 13.90 g cm⁻³
Magnetic moment ... 0.00 μB per cell

Geometry as extended XYZ:
```
4
Lattice="2.7458 0.0000 0.0000 0.0000 4.6140 0.0000 -0.9000 0.0000 5.4027" Properties=species:S:1:pos:R:3 pbc="T T T"
Mg 0.0000 0.0000 0.0000
Ta 1.7655 2.3070 1.4022
W -0.0196 2.3070 4.0035
W 0.8024 0.0000 2.7589
```



(9)
Here is MgTa3W after structural relaxation from Alexandria via LeMat-Bulk. Energies are from PBE-GGA.

Output
E_form ... 2144 meV per atom
DOS at the Fermi energy ... 5.37 states/eV per cell
Calculated density ... 12.46 g cm⁻³
Magnetic moment ... 0.00 μB per cell

Geometry as extended XYZ:
```
5
Lattice="4.6429 0.0000 0.0000 0.0000 4.6429 0.0000 0.0000 0.0000 4.6429" Properties=species:S:1:pos:R:3 pbc="T T T"
Mg 0.0000 0.0000 0.0000
Ta 0.0000 0.0000 2.3215
Ta 0.0000 2.3215 0.0000
Ta 2.3215 0.0000 0.0000
W 2.3215 2.3215 2.3215
```



(10)
Here is MgTaW2 after structural relaxation from Alexandria via LeMat-Bulk. Energies are from PBE-GGA.

Output
E_form ... 446 meV per atom
DOS at the Fermi energy ... 4.42 states/eV per cell
Calculated density ... 13.55 g cm⁻³
Magnetic moment ... 0.00 μB per cell

Geometry as extended XYZ:
```
4
Lattice="1.4141 0.8164 10.1344 -1.4141 0.8164 10.1344 0.0000 -1.6329 10.1344" Properties=species:S:1:pos:R:3 pbc="T T T"
Mg 0.0000 0.0000 0.0000
Ta 0.0000 0.0000 7.4868
W 0.0000 0.0000 15.0692
W 0.0000 0.0000 22.7701
```



(11)
Here is MgTaW2 after structural relaxation from Alexandria via LeMat-Bulk. Energies are from PBE-GGA.

Output
E_form ... 376 meV per atom
DOS at the Fermi energy ... 3.58 states/eV per cell
Calculated density ... 14.04 g cm⁻³
Magnetic moment ... 0.00 μB per cell

Geometry as extended XYZ:
```
4
Lattice="3.4422 0.0000 0.0000 0.0000 4.4122 0.0000 0.0000 0.0000 4.4626" Properties=species:S:1:pos:R:3 pbc="T T T"
Mg 0.0000 0.0000 0.0000
Ta 1.7211 2.2061 0.0000
W 0.0000 2.2061 2.2313
W 1.7211 0.0000 2.2313
```



(12)
Here is MgTaW2 after structural relaxation from Alexandria via LeMat-Bulk. Energies are from PBE-GGA.

Output
E_form ... 1147 meV per atom
DOS at the Fermi energy ... 6.84 states/eV per cell
Calculated density ... 12.74 g cm⁻³
Magnetic moment ... 0.00 μB per cell

Geometry as extended XYZ:
```
8
Lattice="-3.6811 3.6811 2.7551 3.6811 -3.6811 2.7551 3.6811 3.6811 -2.7551" Properties=species:S:1:pos:R:3 pbc="T T T"
Mg 0.0000 0.0000 0.0000
Mg 0.0000 3.6811 1.3775
Ta 3.6811 0.0000 1.3775
Ta 0.0000 0.0000 2.7551
W 1.8405 -1.7597 2.0663
W 1.9214 1.8405 0.6888
W 1.8405 5.4408 -0.6888
W 1.7597 1.8405 3.4439
```



(13)
Here is Mg2ZrTaW after structural relaxation from Alexandria via LeMat-Bulk. Energies are from PBE-GGA.

Output
E_form ... 1962 meV per atom
DOS at the Fermi energy ... 4.56 states/eV per cell
Calculated density ... 6.42 g cm⁻³
Magnetic moment ... 4.18 μB per cell

Geometry as extended XYZ:
```
5
Lattice="5.1511 0.0000 0.0000 0.0000 5.1511 0.0000 0.0000 0.0000 4.9198" Properties=species:S:1:pos:R:3 pbc="T T T"
Mg 0.0000 2.5756 0.0000
Mg 2.5756 0.0000 0.0000
Zr 0.0000 0.0000 2.4599
Ta 0.0000 0.0000 0.0000
W 2.5756 2.5756 2.4599
```



(14)
Here is YMg2Ta after structural relaxation from Alexandria via LeMat-Bulk. Energies are from PBE-GGA.

Output
E_form ... 311 meV per atom
DOS at the Fermi energy ... 4.43 states/eV per cell
Calculated density ... 5.77 g cm⁻³
Magnetic moment ... 0.00 μB per cell

Geometry as extended XYZ:
```
4
Lattice="3.1144 0.0000 0.0000 0.0000 4.5237 0.0000 0.0000 0.0000 6.5002" Properties=species:S:1:pos:R:3 pbc="T T T"
Y 0.0000 0.0000 0.0000
Mg 0.0000 0.0000 3.4193
Mg 1.5572 2.2619 1.8303
Ta 1.5572 2.2619 4.9671
```



(15)
Here is YMgTa3 after structural relaxation from Alexandria via LeMat-Bulk. Energies are from PBE-GGA.

Output
E_form ... 1585 meV per atom
DOS at the Fermi energy ... 7.80 states/eV per cell
Calculated density ... 9.39 g cm⁻³
Magnetic moment ... 0.00 μB per cell

Geometry as extended XYZ:
```
5
Lattice="4.8764 0.0000 0.0000 0.0000 4.8764 0.0000 0.0000 0.0000 4.8764" Properties=species:S:1:pos:R:3 pbc="T T T"
Y 0.0000 0.0000 0.0000
Mg 2.4382 2.4382 2.4382
Ta 0.0000 2.4382 2.4382
Ta 2.4382 0.0000 2.4382
Ta 2.4382 2.4382 0.0000
```